Entry 1:
HgIr3 | PBE | optimized geometry

Calculated values
* SG: C2/m
* M_tot: 0.0000 μB per atom
* ΔE_f: 396 meV/atom

a = 2.823 Å, b = 4.828 Å, c = 4.984 Å
α = 99.13°, β = 90.00°, γ = 73.00°
Sites, in units of the cell vectors:
Ir1 0.240 0.519 0.275
Ir2 0.500 0.000 0.500
Ir3 0.760 0.481 0.725
Hg1 0.000 0.000 0.000

Entry 2:
CdSbOs | PBE | optimized geometry

Calculated values
* SG: Fmm2
* M_tot: 0.0001 μB per atom
* ΔE_f (raw): 185.6 kJ/mol of formula units

a = 8.478 Å, b = 8.223 Å, c = 3.021 Å
α = 84.38°, β = 74.85°, γ = 20.77°
Sites, in units of the cell vectors:
Sb1 0.696 0.696 0.304
Cd1 0.975 0.975 0.025
Os1 0.329 0.329 0.671